Material: MgZnAs2
Method: DFT, PBE
State: optimized geometry

Calculated values
The calculation puts the energy of formation at -0.013 eV per atom. For the density of states at the Fermi level, the calculation gives 0.32 states/eV per atom. The energy above the most stable polymorph in this dataset is 0.0874 eV/atom. The space group is I4/mmm, No. 139.

Cell lengths 5.002, 5.002, 5.002 Å; angles 128.34, 128.34, 76.08 degrees
Sites, in units of the cell vectors:
As (0.000, 0.000, 0.000)
As (0.500, 0.500, 0.000)
Mg (0.250, 0.750, 0.500)
Zn (0.750, 0.250, 0.500)